1.
Below is crystalline InTc2MoC at its relaxed geometry, with properties calculated at the PBE level.

Values from the calculation:
**DFT total energy**: -42.65 eV for the cell shown
**Magnetic moment**: 0.000 μB/atom
**Symmetry**: No. 123
**ΔH_f (0 K)**: 175 meV per atom

abc: 4.1649 4.1649 4.1797
angles: 90.00 90.00 90.00
Last column: nearest neighbours and their distance in Å.
Fractional coordinates of all 5 atoms:
1 In 0.0000 0.0000 0.0000  4 Mo 2.95, 8 Tc 2.95
2 Tc 0.0000 0.5000 0.5000  2 C 2.08
3 Tc 0.5000 0.0000 0.5000  2 C 2.08
4 Mo 0.5000 0.5000 0.0000  2 C 2.09
5 C 0.5000 0.5000 0.5000  4 Tc 2.08, 2 Mo 2.09

=====

2.
Below is crystalline In2TcMoC at its relaxed geometry, with properties calculated at the PBE level.

Values from the calculation:
**DFT total energy**: -31.07 eV for the cell shown
**Magnetic moment**: 0.309 μB/atom
**Symmetry**: No. 123
**ΔH_f (0 K)**: 966 meV per atom

abc: 4.6025 4.6025 4.0173
angles: 90.00 90.00 90.00
Last column: nearest neighbours and their distance in Å.
Fractional coordinates of all 5 atoms:
1 In 0.0000 0.5000 0.0000  2 C 2.30
2 In 0.5000 0.0000 0.0000  2 C 2.30
3 Tc 0.0000 0.0000 0.5000  8 In 3.05, 4 Mo 3.25
4 Mo 0.5000 0.5000 0.5000  2 C 2.01
5 C 0.5000 0.5000 0.0000  2 Mo 2.01

=====

3.
Below is crystalline InCN2 at its relaxed geometry, with properties calculated at the PBE level.

Values from the calculation:
**DFT total energy**: -49.00 eV for the cell shown
**Formation energy from raw total energies**: 1.03 eV per atom
**Magnetic moment**: 0.000 μB/atom
**Symmetry**: No. 122

abc: 4.7847 4.7847 4.7847
angles: 119.71 119.71 90.50
Last column: nearest neighbours and their distance in Å.
Fractional coordinates of all 8 atoms:
1 In 0.0000 0.0000 0.0000  4 N 2.40
2 In 0.7500 0.2500 0.5000  4 N 2.40
3 C 0.2500 0.7500 0.5000  4 N 1.55
4 C 0.5000 0.5000 0.0000  4 N 1.55
5 N 0.2701 0.1250 0.6451  2 C 1.55
6 N 0.3750 0.7299 0.8549  2 C 1.55
7 N 0.4799 0.6250 0.3549  2 C 1.55
8 N 0.8750 0.5201 0.1451  2 C 1.55

=====

4.
Below is crystalline InCN2 at its relaxed geometry, with properties calculated at the PBE level.

Values from the calculation:
**DFT total energy**: -55.49 eV for the cell shown
**Formation energy from raw total energies**: 0.22 eV per atom
**Magnetic moment**: 0.000 μB/atom
**Symmetry**: No. 194

abc: 3.7701 3.7701 9.8668
angles: 90.00 90.00 120.00
Last column: nearest neighbours and their distance in Å.
Fractional coordinates of all 8 atoms:
1 In 0.0000 0.0000 0.0000  6 N 2.50
2 In 0.0000 0.0000 0.5000  6 N 2.50
3 C 0.3333 0.6667 0.2500  2 N 1.24
4 C 0.6667 0.3333 0.7500  2 N 1.24
5 N 0.3333 0.6667 0.1240  1 C 1.24
6 N 0.3333 0.6667 0.3760  1 C 1.24
7 N 0.6667 0.3333 0.6240  1 C 1.24
8 N 0.6667 0.3333 0.8760  1 C 1.24